TaAl2Ni6: optimized geometry, PBE.

Calculated volume, Å³ per atom: 13.48
M_tot, μB/f.u.: 0.0
DFT formation energy, meV per atom: -152
DOS at the Fermi energy, states/eV/cell: 3.43
Space group: No. 164

Cell lengths 4.9252, 4.9252, 5.7742 Å; angles 90.00, 90.00, 120.00 degrees
Sites, in units of the cell vectors:
Ta1 0.0000 0.0000 0.0000
Al1 0.3333 0.6667 0.2218
Al2 0.6667 0.3333 0.7782
Ni1 0.1730 0.3459 0.6703
Ni2 0.1730 0.8270 0.6703
Ni3 0.3459 0.1730 0.3297
Ni4 0.6541 0.8270 0.6703
Ni5 0.8270 0.1730 0.3297
Ni6 0.8270 0.6541 0.3297

TaAl2Ni: optimized geometry, PBE.

Calculated volume, Å³ per atom: 14.38
M_tot, μB/f.u.: 0.0
DFT formation energy, meV per atom: -455
DOS at the Fermi energy, states/eV/cell: 2.08
Space group: No. 123

Cell lengths 2.8755, 2.8755, 6.9579 Å; angles 90.00, 90.00, 90.00 degrees
Sites, in units of the cell vectors:
Ta1 0.0000 0.0000 0.0000
Al1 0.5000 0.5000 0.2925
Al2 0.5000 0.5000 0.7075
Ni1 0.0000 0.0000 0.5000

TaAlNi6: optimized geometry, PBE.

Calculated volume, Å³ per atom: 11.86
M_tot, μB/f.u.: 0.0
DFT formation energy, meV per atom: -425
DOS at the Fermi energy, states/eV/cell: 4.22
Space group: No. 65

Cell lengths 6.2709, 6.2709, 10.2408 Å; angles 90.00, 90.00, 109.58 degrees
Sites, in units of the cell vectors:
Ta1 0.0000 0.0000 0.2444
Ta2 0.0000 0.0000 0.7556
Ta3 0.2460 0.7540 0.5000
Ta4 0.7540 0.2460 0.5000
Al1 0.2458 0.7542 0.0000
Al2 0.5000 0.5000 0.2454
Al3 0.5000 0.5000 0.7546
Al4 0.7542 0.2458 0.0000
Ni1 0.0000 0.0000 0.0000
Ni2 0.0000 0.0000 0.5000
Ni3 0.1275 0.3777 0.1237
Ni4 0.1275 0.3777 0.8763
Ni5 0.1284 0.3767 0.3737
Ni6 0.1284 0.3767 0.6263
Ni7 0.2509 0.7491 0.2485
Ni8 0.2509 0.7491 0.7515
Ni9 0.3767 0.1284 0.3737
Ni10 0.3767 0.1284 0.6263
Ni11 0.3777 0.1275 0.1237
Ni12 0.3777 0.1275 0.8763
Ni13 0.5000 0.5000 0.0000
Ni14 0.5000 0.5000 0.5000
Ni15 0.6223 0.8725 0.1237
Ni16 0.6223 0.8725 0.8763
Ni17 0.6233 0.8716 0.3737
Ni18 0.6233 0.8716 0.6263
Ni19 0.7491 0.2509 0.2485
Ni20 0.7491 0.2509 0.7515
Ni21 0.8716 0.6233 0.3737
Ni22 0.8716 0.6233 0.6263
Ni23 0.8725 0.6223 0.1237
Ni24 0.8725 0.6223 0.8763

TaAl2Ni9: optimized geometry, PBE.

Calculated volume, Å³ per atom: 11.66
M_tot, μB/f.u.: 0.0
DFT formation energy, meV per atom: -439
DOS at the Fermi energy, states/eV/cell: 9.82
Space group: No. 123

Cell lengths 3.6145, 3.6145, 10.7101 Å; angles 90.00, 90.00, 90.00 degrees
Sites, in units of the cell vectors:
Ta1 0.0000 0.0000 0.0000
Al1 0.0000 0.0000 0.3391
Al2 0.0000 0.0000 0.6609
Ni1 0.0000 0.5000 0.1712
Ni2 0.0000 0.5000 0.5000
Ni3 0.0000 0.5000 0.8288
Ni4 0.5000 0.0000 0.1712
Ni5 0.5000 0.0000 0.5000
Ni6 0.5000 0.0000 0.8288
Ni7 0.5000 0.5000 0.0000
Ni8 0.5000 0.5000 0.3362
Ni9 0.5000 0.5000 0.6638

Ta2Al2Ni3: optimized geometry, PBE.

Calculated volume, Å³ per atom: 14.51
M_tot, μB/f.u.: 0.0
DFT formation energy, meV per atom: -270
DOS at the Fermi energy, states/eV/cell: 5.70
Space group: No. 166

Cell lengths 7.5192, 7.5192, 7.5192 Å; angles 31.25, 31.25, 31.25 degrees
Sites, in units of the cell vectors:
Ta1 0.1269 0.1269 0.1269
Ta2 0.8731 0.8731 0.8731
Al1 0.3745 0.3745 0.3745
Al2 0.6255 0.6255 0.6255
Ni1 0.0000 0.0000 0.0000
Ni2 0.2537 0.2537 0.2537
Ni3 0.7463 0.7463 0.7463

Ta2AlNi: optimized geometry, PBE.

Calculated volume, Å³ per atom: 15.95
M_tot, μB/f.u.: 0.0
DFT formation energy, meV per atom: -10
DOS at the Fermi energy, states/eV/cell: 3.48
Space group: No. 160

Cell lengths 9.2250, 9.2250, 9.2250 Å; angles 17.76, 17.76, 17.76 degrees
Sites, in units of the cell vectors:
Ta1 0.0000 0.0000 0.0000
Ta2 0.2380 0.2380 0.2380
Al1 0.4828 0.4828 0.4828
Ni1 0.7453 0.7453 0.7453

TaAl2Ni: optimized geometry, PBE.

Calculated volume, Å³ per atom: 14.82
M_tot, μB/f.u.: 0.0
DFT formation energy, meV per atom: -222
DOS at the Fermi energy, states/eV/cell: 3.16
Space group: No. 119

Cell lengths 4.9050, 4.9050, 4.9050 Å; angles 134.40, 134.40, 66.47 degrees
Sites, in units of the cell vectors:
Ta1 0.0000 0.0000 0.0000
Al1 0.2500 0.7500 0.5000
Al2 0.5000 0.5000 0.0000
Ni1 0.7500 0.2500 0.5000

Ta2AlNi: optimized geometry, PBE.

Calculated volume, Å³ per atom: 15.61
M_tot, μB/f.u.: 0.0
DFT formation energy, meV per atom: -193
DOS at the Fermi energy, states/eV/cell: 4.64
Space group: No. 123

Cell lengths 2.8227, 2.8227, 7.8347 Å; angles 90.00, 90.00, 90.00 degrees
Sites, in units of the cell vectors:
Ta1 0.0000 0.0000 0.2332
Ta2 0.0000 0.0000 0.7668
Al1 0.5000 0.5000 0.5000
Ni1 0.5000 0.5000 0.0000